Here is crystalline ZnGePN at its relaxed geometry from OQMD via LeMat-Bulk. Energies are from PBE.

Calculated values
Space-group type: Cc, No. 9
Uncorrected energy: -4.98 eV/atom

```
ZnGePN
1.0
3.565 -3.577 0.000
3.565 3.577 0.000
-3.415 0.000 4.843
Zn Ge P N
2 2 2 2
direct
0.156 0.844 0.500 Zn
0.844 0.156 0.000 Zn
0.456 0.657 0.001 Ge
0.657 0.456 0.501 Ge
0.034 0.287 0.750 P
0.287 0.034 0.250 P
0.537 0.754 0.750 N
0.754 0.537 0.250 N
```


Here is crystalline Zn2Ge2P3N at its relaxed geometry from OQMD via LeMat-Bulk. Energies are from PBE.

Calculated values
Space-group type: C2, No. 5
Uncorrected energy: -4.66 eV/atom

```
Zn2Ge2P3N
1.0
5.700 -2.657 0.000
5.700 2.657 0.000
-2.321 0.000 4.704
Zn Ge P N
2 2 3 1
direct
0.112 0.112 0.331 Zn
0.888 0.888 0.669 Zn
0.445 0.323 0.106 Ge
0.677 0.555 0.894 Ge
0.036 0.465 0.750 P
0.297 0.703 0.500 P
0.535 0.964 0.250 P
0.756 0.244 0.000 N
```


Q: The lowest uncorrected energy belongs to which entry?
A: ZnGePN